# 1
PmCd2In2Hg2 after structural relaxation. Source: Alexandria, functional PBE. Values from VASP.

Geometry as Quantum ESPRESSO input:
```
&SYSTEM
  ibrav = 0, nat = 7, ntyp = 4
/
ATOMIC_SPECIES
Hg 200.59 Hg.upf
In 114.82 In.upf
Pm 145.00 Pm.upf
Cd 112.41 Cd.upf
ATOMIC_POSITIONS crystal
Hg 0.271 0.543 0.820
Hg 0.729 0.457 0.180
In 0.860 0.720 0.586
In 0.140 0.280 0.414
Pm 0.000 0.000 0.000
Cd 0.582 0.165 0.755
Cd 0.418 0.835 0.245
CELL_PARAMETERS angstrom
4.974 0.000 0.000
-2.487 4.295 -0.404
0.000 -2.199 8.554
```

Summary:
Calculated volume   25.48 Å³ per atom
Space-group type   C2/m
Crystal system   monoclinic
Fermi-level density of states   0.343 states/eV/atom
Energy of formation from the pure elements   -212 meV/atom

# 2
LaAlB12 after structural relaxation. Source: Alexandria, functional PBE. Values from VASP.

Geometry as Quantum ESPRESSO input:
```
&SYSTEM
  ibrav = 0, nat = 14, ntyp = 3
/
ATOMIC_SPECIES
La 138.91 La.upf
B 10.81 B.upf
Al 26.98 Al.upf
ATOMIC_POSITIONS crystal
La 0.000 0.000 0.500
B 0.798 0.500 0.748
B 0.500 0.798 0.748
B 0.500 0.500 0.102
B 0.500 0.500 0.400
B 0.500 0.500 0.600
B 0.500 0.798 0.252
B 0.798 0.500 0.252
B 0.500 0.500 0.898
B 0.202 0.500 0.252
B 0.500 0.202 0.252
B 0.202 0.500 0.748
B 0.500 0.202 0.748
Al 0.000 0.000 0.000
CELL_PARAMETERS angstrom
4.170 0.000 0.000
0.000 4.170 0.000
0.000 0.000 8.372
```

Summary:
Calculated volume   10.40 Å³ per atom
Space-group type   P4/mmm
Crystal system   tetragonal
Fermi-level density of states   0.088 states/eV/atom
Energy of formation from the pure elements   -146 meV/atom

# 3
LiAl2Ag after structural relaxation. Source: Alexandria, functional PBE. Values from VASP.

Geometry as Quantum ESPRESSO input:
```
&SYSTEM
  ibrav = 0, nat = 4, ntyp = 3
/
ATOMIC_SPECIES
Li 6.94 Li.upf
Al 26.98 Al.upf
Ag 107.87 Ag.upf
ATOMIC_POSITIONS crystal
Li 0.667 0.333 0.689
Al 0.667 0.333 0.184
Al 0.333 0.667 0.441
Ag 0.333 0.667 0.936
CELL_PARAMETERS angstrom
4.005 0.000 0.000
-2.003 3.466 0.000
0.000 0.000 5.609
```

Summary:
Calculated volume   19.47 Å³ per atom
Distance to the lowest polymorph of the same formula   0.221 eV/atom
Space-group type   P3m1
Crystal system   trigonal
Fermi-level density of states   0.489 states/eV/atom
Energy of formation from the pure elements   83 meV/atom

# 4
Tb3Cu2 after structural relaxation. Source: Alexandria, functional PBE. Values from VASP.

Geometry as Quantum ESPRESSO input:
```
&SYSTEM
  ibrav = 0, nat = 10, ntyp = 2
/
ATOMIC_SPECIES
Cu 63.55 Cu.upf
Tb 158.93 Tb.upf
ATOMIC_POSITIONS crystal
Cu 0.500 0.500 0.774
Cu 0.500 0.500 0.226
Cu 0.500 0.500 0.408
Cu 0.500 0.500 0.592
Tb 0.000 0.000 0.317
Tb 0.000 0.000 0.864
Tb 0.000 0.000 0.500
Tb 0.000 0.000 0.136
Tb 0.500 0.500 0.000
Tb 0.000 0.000 0.683
CELL_PARAMETERS angstrom
-1.934 2.877 -0.395
-2.387 -1.305 2.185
9.051 8.106 14.730
```

Summary:
Calculated volume   23.25 Å³ per atom
Distance to the lowest polymorph of the same formula   0.000 eV/atom
Space-group type   P4/mmm
Crystal system   tetragonal
Fermi-level density of states   0.661 states/eV/atom
Energy of formation from the pure elements   -185 meV/atom